# CdInCoF6

An optimized crystal structure of CdInCoF6 (PBE+U, the Alexandria database). Values from VASP.

**D(E_F)**: 3.1 states/eV per cell
**Total energy**: -4.33 eV per atom
**M_tot**: 0.330 μB/atom
**Symmetry**: No. 163

The structure in Quantum ESPRESSO input format:
```
&SYSTEM
  ibrav = 0, nat = 18, ntyp = 4
/
ATOMIC_SPECIES
Cd 112.41 Cd.upf
In 114.82 In.upf
Co 58.93 Co.upf
F 19.00 F.upf
ATOMIC_POSITIONS crystal
Cd 0.000 0.000 0.000
Cd 0.000 0.000 0.500
In 0.667 0.333 0.250
In 0.333 0.667 0.750
Co 0.333 0.667 0.250
Co 0.667 0.333 0.750
F 0.644 0.666 0.134
F 0.022 0.356 0.134
F 0.356 0.022 0.634
F 0.978 0.644 0.866
F 0.334 0.356 0.366
F 0.022 0.666 0.366
F 0.666 0.022 0.866
F 0.644 0.978 0.366
F 0.978 0.334 0.634
F 0.334 0.978 0.134
F 0.666 0.644 0.634
F 0.356 0.334 0.866
CELL_PARAMETERS angstrom
-1.455 5.200 1.784
-3.720 -3.143 -2.937
-3.292 -3.714 8.142
```